Below is a relaxed Tb2Pr5Er4 crystal, with properties calculated at the GGA-PBE level.

a b c (Å): 3.5415 9.1794 12.7961
angles (deg): 111.02 97.95 90.00
Atoms (fractional coordinates):
Pr: 0.1459 0.3472 0.2918
Er: 0.0000 0.3156 0.0000
Pr: 0.5000 0.0000 0.0000
Pr: 0.8541 0.6528 0.7082
Tb: 0.7305 0.7305 0.4609
Er: 0.5962 0.5962 0.1925
Pr: 0.8541 0.0554 0.7082
Pr: 0.1459 0.9446 0.2918
Er: 0.4038 0.4038 0.8075
Tb: 0.2695 0.2695 0.5391
Er: 0.0000 0.6844 0.0000

Calculated values
Its excess energy over the best structure of this formula in the dataset is 10.52 kJ/mol of atoms.

=====

Below is a relaxed Zn3Cu crystal, with properties calculated at the GGA-PBE level.

a b c (Å): 2.7446 2.7446 8.5808
angles (deg): 90.00 90.00 120.00
Atoms (fractional coordinates):
Zn: 0.0000 0.0000 0.5000
Zn: 0.6667 0.3333 0.2371
Cu: 0.0000 0.0000 0.0000
Zn: 0.6667 0.3333 0.7629

Calculated values
The total energy is -0.0743 hartree per atom.

=====

Below is a relaxed Ac5Tl2Cu crystal, with properties calculated at the GGA-PBE level.

a b c (Å): 8.1664 10.3335 13.7903
angles (deg): 90.00 90.00 90.00
Atoms (fractional coordinates):
Ac: 0.3203 0.5372 0.5799
Tl: 0.5934 0.4957 0.1621
Ac: 0.8735 0.2500 0.2027
Ac: 0.1797 0.9628 0.0799
Tl: 0.0934 0.9957 0.3379
Ac: 0.1457 0.2500 0.7784
Ac: 0.3735 0.7500 0.2973
Ac: 0.6265 0.2500 0.7027
Tl: 0.9066 0.4957 0.6621
Ac: 0.6797 0.4628 0.4201
Ac: 0.9451 0.7500 0.5016
Tl: 0.4066 0.5043 0.8379
Ac: 0.5549 0.7500 0.0016
Ac: 0.3543 0.2500 0.2784
Ac: 0.1265 0.7500 0.7973
Cu: 0.4293 0.2500 0.5116
Tl: 0.5934 0.0043 0.1621
Ac: 0.0549 0.2500 0.4984
Tl: 0.0934 0.5043 0.3379
Tl: 0.9066 0.0043 0.6621
Ac: 0.6797 0.0372 0.4201
Ac: 0.8203 0.0372 0.9201
Ac: 0.8203 0.4628 0.9201
Ac: 0.3203 0.9628 0.5799
Ac: 0.8543 0.7500 0.2216
Ac: 0.1797 0.5372 0.0799
Ac: 0.4451 0.2500 0.9984
Cu: 0.0707 0.2500 0.0116
Tl: 0.4066 0.9957 0.8379
Cu: 0.5707 0.7500 0.4884
Ac: 0.6457 0.7500 0.7216
Cu: 0.9293 0.7500 0.9884

Calculated values
The total energy is -0.1426 hartree per atom.

=====

Number 1: DOS(E_F) 17.514 states/eV/f.u.. Number 2: DOS(E_F) 0.709 states/eV/f.u.. Number 3: DOS(E_F) 9.837 states/eV/f.u..